[1]
# Sc2TcH

A relaxed Sc2TcH crystal (PBE-GGA, Alexandria).

Total magnetic moment ... 0.81 Bohr magnetons per cell
E above lowest polymorph ... 266.4 meV per atom
Space-group type ... R-3m (166)
E ... -6.381 eV/atom
ρ ... 5.2 g/cm³

Lattice parameters (Å, degrees): 7.924 7.924 7.924 21.75 21.75 21.75
Last column: magnetic moment on the atom in μB.
Fractional coordinates of all 4 atoms:
Sc  0.891  0.891  0.891  0.07
Sc  0.109  0.109  0.109  0.07
H  0.500  0.500  0.500  0.00
Tc  0.000  0.000  0.000  0.56



[2]
# ScFe2Ir

A relaxed ScFe2Ir crystal (PBE-GGA, Alexandria).

Total magnetic moment ... 5.19 Bohr magnetons per cell
Space-group type ... F-43m (216)
E ... -8.266 eV/atom
ρ ... 10.0 g/cm³
Energy relative to the elements ... -91 kJ/mol of formula units

Lattice parameters (Å, degrees): 4.343 4.343 4.343 119.98 119.98 90.03
Last column: magnetic moment on the atom in μB.
Fractional coordinates of all 4 atoms:
Fe  0.000  0.000  0.000  2.22
Fe  0.250  0.750  0.500  2.86
Ir  0.500  0.500  0.000  0.44
Sc  0.750  0.250  0.500  -0.22



- Among the records above, which one has the highest E?
  Sc2TcH



- The lowest E belongs to which entry?
  ScFe2Ir



- Among the records above, which one has the highest E?
  Sc2TcH